No. 1
DFT (PBE) results for an optimized crystal structure of ScTc4Os.

a b c (Å): 5.1301 5.1301 5.1301
angles (deg): 60.00 60.00 60.00
Element x y z (fractional)
Sc (0.0000, 0.0000, 0.0000)
Tc (0.8797, 0.3734, 0.3734)
Tc (0.3734, 0.3734, 0.8797)
Tc (0.3734, 0.8797, 0.3734)
Tc (0.3734, 0.3734, 0.3734)
Os (0.7500, 0.7500, 0.7500)

Properties
As for the symmetry: F-43m, No. 216. The calculation puts the calculated total energy at -9.72 eV per atom. The energy relative to the elements is 0.119 eV per atom.

***

No. 2
DFT (PBE) results for an optimized crystal structure of ScTcOs3.

a b c (Å): 4.6633 4.6633 4.6633
angles (deg): 90.00 90.00 90.00
Element x y z (fractional)
Sc (0.5000, 0.5000, 0.5000)
Os (0.0000, 0.5000, 0.0000)
Os (0.0000, 0.0000, 0.5000)
Os (0.5000, 0.0000, 0.0000)
Tc (0.0000, 0.0000, 0.0000)

Properties
Its energy above the most stable polymorph in this dataset is 0 meV per atom. As for the symmetry: Pm-3m, No. 221. The calculation puts the calculated total energy at -8.60 eV per atom. The energy relative to the elements is 1.475 eV per atom.

***

No. 3
DFT (PBE) results for an optimized crystal structure of Sc3TcOs.

a b c (Å): 4.9403 4.9403 4.9403
angles (deg): 90.00 90.00 90.00
Site moments in Bohr magnetons follow the coordinates.
Element x y z (fractional)
Sc (0.0000, 0.5000, 0.0000)  -0.10
Sc (0.0000, 0.0000, 0.5000)  -0.08
Sc (0.5000, 0.0000, 0.0000)  -0.18
Os (0.0000, 0.0000, 0.0000)  0.11
Tc (0.5000, 0.5000, 0.5000)  2.37

Properties
Its energy above the most stable polymorph in this dataset is 0 meV per atom. As for the symmetry: Pm-3m, No. 221. The calculation puts the calculated total energy at -7.56 eV per atom. The energy relative to the elements is 0.559 eV per atom.

***

No. 4
DFT (PBE) results for an optimized crystal structure of ScTcOs.

a b c (Å): 3.8628 3.8688 7.6500
angles (deg): 104.65 104.62 90.00
Element x y z (fractional)
Sc (0.6772, 0.8348, 0.3544)
Sc (0.3228, 0.4804, 0.6456)
Tc (0.5000, 0.2448, 0.0000)
Tc (0.0000, 0.6597, 0.0000)
Os (0.8761, 0.0095, 0.7521)
Os (0.1239, 0.2574, 0.2479)

Properties
Its energy above the most stable polymorph in this dataset is 303 meV per atom. As for the symmetry: Imm2, No. 44. The calculation puts the calculated total energy at -9.19 eV per atom. The energy relative to the elements is 0.116 eV per atom.

***

No. 5
DFT (PBE) results for an optimized crystal structure of ScTcOs.

a b c (Å): 4.3935 4.3935 2.8465
angles (deg): 90.00 90.00 120.00
Element x y z (fractional)
Os (0.0000, 0.0000, 0.9845)
Sc (0.6667, 0.3333, 0.3391)
Tc (0.3333, 0.6667, 0.6765)

Properties
Its energy above the most stable polymorph in this dataset is 159 meV per atom. As for the symmetry: P3m1, No. 156. The calculation puts the calculated total energy at -9.34 eV per atom. The energy relative to the elements is -0.027 eV per atom.

***

No. 6
DFT (PBE) results for an optimized crystal structure of Sc4TcOs.

a b c (Å): 5.3874 5.3874 5.3874
angles (deg): 60.00 60.00 60.00
Element x y z (fractional)
Sc (0.8756, 0.3748, 0.3748)
Sc (0.3748, 0.3748, 0.8756)
Sc (0.3748, 0.8756, 0.3748)
Sc (0.3748, 0.3748, 0.3748)
Tc (0.7500, 0.7500, 0.7500)
Os (0.0000, 0.0000, 0.0000)

Properties
Its energy above the most stable polymorph in this dataset is 912 meV per atom. As for the symmetry: F-43m, No. 216. The calculation puts the calculated total energy at -7.21 eV per atom. The energy relative to the elements is 0.607 eV per atom.

***

no.,volume (Å³/cell)
1,95
2,101
3,121
4,107
5,48
6,111